The following is a DFT calculation (GGA+U) of a relaxed structure of Rb3MoO4.

Computed properties:
- Calculated total energy: -5.397 eV per atom
- Symmetry: Pmn2_1
- Calculated volume: 25.09 Å³/atom

abc: 8.6322 7.1473 6.5056
angles: 90.00 90.00 90.00
Fractional coordinates of all 16 atoms:
Rb 0.0000 0.1363 0.0000
Rb 0.2398 0.3262 0.4890
Rb 0.2602 0.6738 0.9890
Rb 0.5000 0.8637 0.5000
Rb 0.7398 0.6738 0.9890
Rb 0.7602 0.3262 0.4890
Mo 0.0000 0.8184 0.4757
Mo 0.5000 0.1816 0.9757
O 0.0000 0.0678 0.5676
O 0.0000 0.7811 0.1904
O 0.1887 0.7142 0.5623
O 0.3113 0.2858 0.0623
O 0.5000 0.2189 0.6904
O 0.5000 0.9322 0.0676
O 0.6887 0.2858 0.0623
O 0.8113 0.7142 0.5623